Sr4Cd5Au6: relaxed, PBE-GGA.

Properties
Theoretical density in kg/m3: 8483
Energy relative to the elements in kcal/mol of atoms: -12.027
M_tot in μB/cell: 0.00
Symmetry: Cmc2_1 (36)
D(E_F) in states/eV per cell: 12.29

Cell lengths 4.448, 11.328, 16.597 Å; angles 90.00, 90.00, 101.32 degrees
Fractional coordinates of all 30 atoms:
Sr: 0.963 0.926 0.272
Sr: 0.037 0.074 0.772
Sr: 0.160 0.319 0.303
Sr: 0.840 0.681 0.803
Sr: 0.817 0.635 0.441
Sr: 0.183 0.365 0.941
Sr: 0.011 0.021 0.512
Sr: 0.989 0.979 0.012
Cd: 0.445 0.890 0.677
Cd: 0.555 0.110 0.177
Cd: 0.156 0.312 0.628
Cd: 0.844 0.688 0.128
Cd: 0.641 0.281 0.480
Cd: 0.359 0.719 0.980
Cd: 0.304 0.609 0.614
Cd: 0.696 0.391 0.114
Cd: 0.339 0.678 0.274
Cd: 0.661 0.322 0.774
Au: 0.761 0.522 0.261
Au: 0.426 0.853 0.406
Au: 0.779 0.559 0.982
Au: 0.221 0.441 0.482
Au: 0.448 0.895 0.857
Au: 0.552 0.105 0.357
Au: 0.428 0.855 0.135
Au: 0.572 0.145 0.635
Au: 0.115 0.231 0.114
Au: 0.885 0.769 0.614
Au: 0.574 0.147 0.906
Au: 0.239 0.478 0.761